Material: La6BS12
Method: DFT, PBE
State: relaxed

```
data_La6BS12
_cell_length_a 7.996
_cell_length_b 7.996
_cell_length_c 7.996
_cell_angle_alpha 99.23
_cell_angle_beta 99.23
_cell_angle_gamma 99.23
_symmetry_space_group_name_H-M 'P 1'
_symmetry_Int_Tables_number 1
loop_
_symmetry_equiv_pos_as_xyz
'x,y,z'
loop_
_atom_site_label
_atom_site_type_symbol
_atom_site_fract_x
_atom_site_fract_y
_atom_site_fract_z
La1 La 0.710 0.864 0.381
La2 La 0.619 0.290 0.136
La3 La 0.136 0.619 0.290
La4 La 0.290 0.136 0.619
La5 La 0.381 0.710 0.864
La6 La 0.864 0.381 0.710
B1 B 0.000 0.000 0.000
S1 S 0.823 0.556 0.413
S2 S 0.413 0.823 0.556
S3 S 0.556 0.413 0.823
S4 S 0.177 0.444 0.587
S5 S 0.587 0.177 0.444
S6 S 0.444 0.587 0.177
S7 S 0.052 0.968 0.274
S8 S 0.032 0.726 0.948
S9 S 0.726 0.948 0.032
S10 S 0.948 0.032 0.726
S11 S 0.968 0.274 0.052
S12 S 0.274 0.052 0.968
```

Properties
As for the space group: R-3 (148). The theoretical density is 4.17 Mg/m³. The formation energy without anion corrections comes out at -1.450 eV/atom. The crystal system is trigonal.

***

Material: MnTlOs
Method: DFT, PBE
State: relaxed

```
data_MnTlOs
_cell_length_a 2.991
_cell_length_b 2.991
_cell_length_c 6.696
_cell_angle_alpha 90.00
_cell_angle_beta 90.00
_cell_angle_gamma 120.00
_symmetry_space_group_name_H-M 'P 1'
_symmetry_Int_Tables_number 1
loop_
_symmetry_equiv_pos_as_xyz
'x,y,z'
loop_
_atom_site_label
_atom_site_type_symbol
_atom_site_fract_x
_atom_site_fract_y
_atom_site_fract_z
Mn1 Mn 0.000 0.000 0.030
Os1 Os 0.667 0.333 0.299
Tl1 Tl 0.333 0.667 0.670
```

Properties
As for the space group: P3m1 (156). Its energy of formation from the pure elements is 0.662 eV/atom. The theoretical density is 14.39 Mg/m³. The crystal system is trigonal.

***

Material: Tb6Pm3ErTh2
Method: DFT, PBE
State: relaxed

```
data_Tb6Pm3ErTh2
_cell_length_a 6.205
_cell_length_b 6.205
_cell_length_c 11.849
_cell_angle_alpha 95.02
_cell_angle_beta 95.02
_cell_angle_gamma 119.96
_symmetry_space_group_name_H-M 'P 1'
_symmetry_Int_Tables_number 1
loop_
_symmetry_equiv_pos_as_xyz
'x,y,z'
loop_
_atom_site_label
_atom_site_type_symbol
_atom_site_fract_x
_atom_site_fract_y
_atom_site_fract_z
Tb1 Tb 0.918 0.581 0.755
Tb2 Tb 0.745 0.745 0.246
Tb3 Tb 0.082 0.419 0.245
Tb4 Tb 0.581 0.918 0.755
Tb5 Tb 0.255 0.255 0.754
Tb6 Tb 0.419 0.082 0.245
Pm1 Pm 0.167 0.833 0.500
Pm2 Pm 0.833 0.167 0.500
Pm3 Pm 0.500 0.500 0.500
Er1 Er 0.000 0.000 0.000
Th1 Th 0.334 0.666 0.000
Th2 Th 0.666 0.334 0.000
```

Properties
As for the space group: C2/m (12). Its energy of formation from the pure elements is 0.020 eV/atom. The theoretical density is 8.62 Mg/m³. The crystal system is monoclinic.

***

Material: MgSc2Br
Method: DFT, PBE
State: relaxed

```
data_MgSc2Br
_cell_length_a 10.796
_cell_length_b 10.796
_cell_length_c 10.796
_cell_angle_alpha 17.59
_cell_angle_beta 17.59
_cell_angle_gamma 17.59
_symmetry_space_group_name_H-M 'P 1'
_symmetry_Int_Tables_number 1
loop_
_symmetry_equiv_pos_as_xyz
'x,y,z'
loop_
_atom_site_label
_atom_site_type_symbol
_atom_site_fract_x
_atom_site_fract_y
_atom_site_fract_z
Sc1 Sc 0.903 0.903 0.903
Sc2 Sc 0.097 0.097 0.097
Mg1 Mg 0.000 0.000 0.000
Br1 Br 0.500 0.500 0.500
```

Properties
As for the space group: R-3m (166). Its energy above the most stable polymorph in this dataset is 119 kJ/mol of formula units. The theoretical density is 3.21 Mg/m³. The formation energy without anion corrections comes out at -0.097 eV/atom. The crystal system is trigonal.

***

Material: Ga2Ge2Pt7
Method: DFT, PBE
State: relaxed

```
data_Ga2Ge2Pt7
_cell_length_a 5.992
_cell_length_b 6.020
_cell_length_c 6.020
_cell_angle_alpha 107.67
_cell_angle_beta 99.84
_cell_angle_gamma 99.84
_symmetry_space_group_name_H-M 'P 1'
_symmetry_Int_Tables_number 1
loop_
_symmetry_equiv_pos_as_xyz
'x,y,z'
loop_
_atom_site_label
_atom_site_type_symbol
_atom_site_fract_x
_atom_site_fract_y
_atom_site_fract_z
Ga1 Ga 0.318 0.280 0.280
Ga2 Ga 0.682 0.720 0.720
Ge1 Ge 0.000 0.276 0.724
Ge2 Ge 0.000 0.724 0.276
Pt1 Pt 0.698 0.926 0.420
Pt2 Pt 0.302 0.580 0.074
Pt3 Pt 0.302 0.074 0.580
Pt4 Pt 0.698 0.420 0.926
Pt5 Pt 0.500 0.000 0.000
Pt6 Pt 0.232 0.614 0.614
Pt7 Pt 0.768 0.386 0.386
```

Properties
As for the space group: C2/m (12). Its energy of formation from the pure elements is -0.269 eV/atom. The theoretical density is 13.84 Mg/m³. The crystal system is monoclinic.

***

Material: HgGe2SbO8
Method: DFT, PBE
State: relaxed

```
data_HgGe2SbO8
_cell_length_a 5.564
_cell_length_b 5.564
_cell_length_c 6.582
_cell_angle_alpha 90.00
_cell_angle_beta 90.00
_cell_angle_gamma 120.00
_symmetry_space_group_name_H-M 'P 1'
_symmetry_Int_Tables_number 1
loop_
_symmetry_equiv_pos_as_xyz
'x,y,z'
loop_
_atom_site_label
_atom_site_type_symbol
_atom_site_fract_x
_atom_site_fract_y
_atom_site_fract_z
Hg1 Hg 0.000 0.000 0.500
Ge1 Ge 0.333 0.667 0.731
Ge2 Ge 0.667 0.333 0.269
Sb1 Sb 0.000 0.000 0.000
O1 O 0.157 0.314 0.806
O2 O 0.157 0.843 0.806
O3 O 0.686 0.843 0.806
O4 O 0.314 0.157 0.194
O5 O 0.667 0.333 0.534
O6 O 0.333 0.667 0.466
O7 O 0.843 0.686 0.194
O8 O 0.843 0.157 0.194
```

Properties
As for the space group: P-3m1 (164). The theoretical density is 5.60 Mg/m³. The formation energy without anion corrections comes out at -0.987 eV/atom. The crystal system is trigonal.

***

Material: CaFe2Ir
Method: DFT, PBE
State: relaxed

```
data_CaFe2Ir
_cell_length_a 9.302
_cell_length_b 9.302
_cell_length_c 9.302
_cell_angle_alpha 17.48
_cell_angle_beta 17.48
_cell_angle_gamma 17.48
_symmetry_space_group_name_H-M 'P 1'
_symmetry_Int_Tables_number 1
loop_
_symmetry_equiv_pos_as_xyz
'x,y,z'
loop_
_atom_site_label
_atom_site_type_symbol
_atom_site_fract_x
_atom_site_fract_y
_atom_site_fract_z
Ca1 Ca 0.750 0.750 0.750
Ir1 Ir 0.250 0.250 0.250
Fe1 Fe 0.991 0.991 0.991
Fe2 Fe 0.509 0.509 0.509
```

Properties
As for the space group: R-3m (166). Its energy of formation from the pure elements is 0.588 eV/atom. The theoretical density is 9.02 Mg/m³. The crystal system is trigonal.

***

Material: RbCoNiSe2
Method: DFT, PBE
State: relaxed

```
data_RbCoNiSe2
_cell_length_a 5.807
_cell_length_b 7.663
_cell_length_c 5.188
_cell_angle_alpha 104.32
_cell_angle_beta 90.00
_cell_angle_gamma 90.00
_symmetry_space_group_name_H-M 'P 1'
_symmetry_Int_Tables_number 1
loop_
_symmetry_equiv_pos_as_xyz
'x,y,z'
loop_
_atom_site_label
_atom_site_type_symbol
_atom_site_fract_x
_atom_site_fract_y
_atom_site_fract_z
Rb1 Rb 0.236 0.500 0.750
Rb2 Rb 0.764 0.500 0.250
Co1 Co 0.000 0.000 0.000
Co2 Co 0.000 0.000 0.500
Ni1 Ni 0.596 0.000 0.250
Ni2 Ni 0.404 0.000 0.750
Se1 Se 0.709 0.801 0.854
Se2 Se 0.709 0.199 0.646
Se3 Se 0.291 0.801 0.354
Se4 Se 0.291 0.199 0.146
```

Properties
As for the space group: P2/c (13). The theoretical density is 5.36 Mg/m³. The formation energy without anion corrections comes out at -0.331 eV/atom. The crystal system is monoclinic.